# 1
DFT (PBE-GGA) results for an optimized crystal structure of VAgPb.

The structure in POSCAR format:
```
VAgPb
1.0
11.725 0.000 0.000
0.000 3.109 0.000
-2.523 0.000 6.640
V Ag Pb
4 4 4
direct
0.000 0.000 0.000
0.088 0.500 0.835
0.500 0.500 0.000
0.588 0.000 0.835
0.178 0.500 0.292
0.293 0.000 0.079
0.678 0.000 0.292
0.793 0.500 0.079
0.310 0.000 0.682
0.492 0.500 0.429
0.810 0.500 0.682
0.992 0.000 0.429
```

Computed properties:
Space group: No. 8
ρ, g cm⁻³: 10.0
Formation energy, eV per atom: 0.347
Calculated volume, Å³ per cell: 242.08
N(E_F), states/eV per atom: 0.495

=====

# 2
DFT (PBE-GGA) results for an optimized crystal structure of Pm2Ni3B2.

The structure in POSCAR format:
```
Pm2Ni3B2
1.0
10.119 0.000 0.000
0.000 3.405 0.000
-3.076 0.000 5.891
Pm Ni B
4 6 4
direct
0.129 0.000 0.270
0.371 0.500 0.730
0.629 0.500 0.270
0.871 0.000 0.730
0.000 0.500 0.500
0.154 0.500 0.911
0.346 0.000 0.089
0.500 0.000 0.500
0.654 0.000 0.911
0.846 0.500 0.089
0.150 0.000 0.739
0.350 0.500 0.261
0.650 0.500 0.739
0.850 0.000 0.261
```

Computed properties:
Space group: No. 12
ρ, g cm⁻³: 8.0
Formation energy, eV per atom: -0.273
Calculated volume, Å³ per cell: 202.99
N(E_F), states/eV per atom: 0.830

=====

# 3
DFT (PBE-GGA) results for an optimized crystal structure of Sm2Ga4Ru3.

The structure in POSCAR format:
```
Sm2Ga4Ru3
1.0
2.967 -7.410 0.000
2.967 7.410 0.000
0.000 0.000 7.500
Sm Ga Ru
4 8 6
direct
0.121 0.879 0.910
0.379 0.621 0.410
0.621 0.379 0.590
0.879 0.121 0.090
0.179 0.821 0.518
0.198 0.302 0.750
0.302 0.198 0.250
0.321 0.679 0.018
0.679 0.321 0.982
0.698 0.802 0.750
0.802 0.698 0.250
0.821 0.179 0.482
0.000 0.000 0.500
0.023 0.477 0.750
0.477 0.023 0.250
0.500 0.500 0.000
0.523 0.977 0.750
0.977 0.523 0.250
```

Computed properties:
Space group: No. 64
ρ, g cm⁻³: 8.9
Formation energy, eV per atom: -0.479
Calculated volume, Å³ per cell: 329.82
N(E_F), states/eV per atom: 0.763

=====

# 4
DFT (PBE-GGA) results for an optimized crystal structure of Rb2Cd5Sn3.

The structure in POSCAR format:
```
Rb2Cd5Sn3
1.0
5.133 0.000 0.000
0.000 5.133 0.000
0.000 0.000 12.117
Rb Cd Sn
2 5 3
direct
0.000 0.500 0.248
0.500 0.000 0.752
0.000 0.000 0.000
0.000 0.000 0.500
0.000 0.500 0.878
0.500 0.000 0.122
0.500 0.500 0.000
0.000 0.500 0.635
0.500 0.000 0.365
0.500 0.500 0.500
```

Computed properties:
Space group: No. 115
ρ, g cm⁻³: 5.7
Formation energy, eV per atom: -0.101
Calculated volume, Å³ per cell: 319.23
N(E_F), states/eV per atom: 0.583

=====

# 5
DFT (PBE-GGA) results for an optimized crystal structure of TiSn4S6.

The structure in POSCAR format:
```
TiSn4S6
1.0
7.955 -3.721 0.000
7.955 3.721 0.000
-7.048 0.000 11.135
Ti Sn S
2 8 12
direct
0.207 0.793 0.500
0.793 0.207 0.000
0.112 0.768 0.729
0.211 0.386 0.255
0.362 0.752 0.105
0.386 0.211 0.755
0.668 0.822 0.445
0.752 0.362 0.605
0.768 0.112 0.229
0.822 0.668 0.945
0.010 0.109 0.460
0.013 0.505 0.784
0.067 0.607 0.449
0.067 0.756 0.142
0.109 0.010 0.960
0.352 0.829 0.698
0.457 0.550 0.403
0.505 0.013 0.284
0.550 0.457 0.903
0.607 0.067 0.949
0.756 0.067 0.642
0.829 0.352 0.198
```

Computed properties:
Raw formation energy, eV/atom: -0.560
Space group: No. 9
ρ, g cm⁻³: 3.6
Calculated volume, Å³ per cell: 659.11

=====

# 6
DFT (PBE-GGA) results for an optimized crystal structure of NaZrTeAu2.

The structure in POSCAR format:
```
NaZrTeAu2
1.0
5.318 0.000 0.000
0.000 5.318 0.000
0.000 0.000 5.342
Na Zr Te Au
1 1 1 2
direct
0.000 0.000 0.000
0.500 0.500 0.000
0.500 0.500 0.500
0.000 0.500 0.500
0.500 0.000 0.500
```

Computed properties:
Raw formation energy, eV/atom: 0.404
Space group: No. 123
ρ, g cm⁻³: 7.0
Calculated volume, Å³ per cell: 151.07
N(E_F), states/eV per atom: 0.588

=====

# 7
DFT (PBE-GGA) results for an optimized crystal structure of ReTeP2.

The structure in POSCAR format:
```
ReTeP2
1.0
3.135 0.000 0.000
-1.567 2.715 0.000
0.000 0.000 26.735
Re Te P
3 3 6
direct
0.000 0.000 0.000
0.333 0.667 0.667
0.667 0.333 0.333
0.000 0.000 0.258
0.333 0.667 0.924
0.667 0.333 0.591
0.000 0.000 0.458
0.000 0.000 0.737
0.333 0.667 0.124
0.333 0.667 0.404
0.667 0.333 0.070
0.667 0.333 0.791
```

Computed properties:
Raw formation energy, eV/atom: 0.374
Space group: No. 160
ρ, g cm⁻³: 8.2
Calculated volume, Å³ per cell: 227.54
N(E_F), states/eV per atom: 0.446

=====

# 8
DFT (PBE-GGA) results for an optimized crystal structure of CaH2Cl2.

The structure in POSCAR format:
```
CaH2Cl2
1.0
4.050 0.000 0.000
0.000 6.659 0.000
-1.557 0.000 8.619
Ca H Cl
2 4 4
direct
0.177 0.000 0.313
0.823 0.500 0.687
0.030 0.356 0.195
0.148 0.331 0.139
0.852 0.831 0.861
0.970 0.856 0.805
0.264 0.707 0.534
0.390 0.371 0.858
0.610 0.871 0.142
0.736 0.207 0.466
```

Computed properties:
Space group: No. 4
ρ, g cm⁻³: 1.6
Calculated volume, Å³ per cell: 232.44
Total DFT energy (no corrections), eV/atom: -3.88
N(E_F), states/eV per atom: 0.000

=====

# 9
DFT (PBE-GGA) results for an optimized crystal structure of ErPuGaPt.

The structure in POSCAR format:
```
ErPuGaPt
1.0
7.067 0.000 0.000
0.000 7.067 0.000
0.000 0.000 7.067
Er Pu Ga Pt
4 4 4 4
direct
0.000 0.000 0.000
0.000 0.500 0.500
0.500 0.000 0.500
0.500 0.500 0.000
0.000 0.000 0.500
0.000 0.500 0.000
0.500 0.000 0.000
0.500 0.500 0.500
0.250 0.250 0.250
0.250 0.750 0.750
0.750 0.250 0.750
0.750 0.750 0.250
0.250 0.250 0.750
0.250 0.750 0.250
0.750 0.250 0.250
0.750 0.750 0.750
```

Computed properties:
Space group: No. 216
ρ, g cm⁻³: 12.7
Formation energy, eV per atom: -0.648
Calculated volume, Å³ per cell: 352.88
N(E_F), states/eV per atom: 2.377

=====

# 10
DFT (PBE-GGA) results for an optimized crystal structure of SmCoRe.

The structure in POSCAR format:
```
SmCoRe
1.0
4.155 0.000 0.000
0.000 5.034 0.000
0.000 0.000 11.165
Sm Co Re
4 4 4
direct
0.000 0.250 0.122
0.000 0.750 0.878
0.500 0.250 0.378
0.500 0.750 0.622
0.000 0.000 0.500
0.000 0.500 0.500
0.500 0.000 0.000
0.500 0.500 0.000
0.000 0.250 0.688
0.000 0.750 0.312
0.500 0.250 0.812
0.500 0.750 0.188
```

Computed properties:
Space group: No. 74
ρ, g cm⁻³: 11.2
Formation energy, eV per atom: 0.057
Calculated volume, Å³ per cell: 233.53
N(E_F), states/eV per atom: 0.667